Computed, not measured: an optimized crystal structure of LiYO2 at the GGA-PBE level of DFT.

a = 3.927 Å, b = 3.927 Å, c = 3.927 Å
α = 60.00°, β = 60.00°, γ = 60.00°
Positions (direct):
Li (0.000, 0.000, 0.000)
Y (0.500, 0.500, 0.500)
O (0.250, 0.250, 0.250)
O (0.750, 0.750, 0.750)

Summary:
ρ: 4.96 g/cm³
M_tot: 0.000 μB/atom
SG: Fm-3m
Formation energy from raw total energies: -2.588 eV per atom
VASP energy: -7.16 eV/atom